1.
First-principles (PBE-GGA) data for a relaxed HfHIr crystal, as listed in Alexandria.

Calculated values
DFT total energy	-7.734	eV/atom
crystal system	hexagonal
excess energy over the best structure of this formula in the dataset	244.2	meV per atom
mass density	15.036	g/cm3

Cell lengths 3.052, 3.941, 3.941 Å; angles 120.00, 90.00, 90.00 degrees
Element x y z (fractional)
H 0.167 0.667 0.333
Ir 0.167 0.000 0.000
Hf 0.667 0.333 0.667



2.
First-principles (PBE-GGA) data for a relaxed BeHgW2 crystal, as listed in Alexandria.

Calculated values
DFT total energy	-6.696	eV/atom
energy of formation	0.79	eV per atom
crystal system	cubic
excess energy over the best structure of this formula in the dataset	344.3	meV per atom
mass density	15.037	g/cm3

Cell lengths 4.484, 4.484, 4.484 Å; angles 60.00, 60.00, 60.00 degrees
Element x y z (fractional)
Be 0.500 0.500 0.500
Hg 0.750 0.750 0.750
W 0.000 0.000 0.000
W 0.250 0.250 0.250



3.
First-principles (PBE-GGA) data for a relaxed YSbP2 crystal, as listed in Alexandria.

Calculated values
DFT total energy	-5.610	eV/atom
crystal system	orthorhombic
formation energy from raw total energies	-0.26	eV/atom
mass density	5.157	g/cm3

Cell lengths 3.475, 3.475, 7.571 Å; angles 90.00, 90.00, 106.22 degrees
Element x y z (fractional)
P 0.000 0.000 0.986
P 0.000 0.000 0.514
Sb 0.500 0.500 0.250
Y 0.500 0.500 0.750



4.
First-principles (PBE-GGA) data for a relaxed NdZrCd crystal, as listed in Alexandria.

Calculated values
DFT total energy	-4.812	eV/atom
energy of formation	-0.07	eV per atom
crystal system	tetragonal
excess energy over the best structure of this formula in the dataset	0.0	meV per atom
mass density	7.302	g/cm3

Cell lengths 3.452, 3.452, 7.073 Å; angles 104.13, 104.13, 90.00 degrees
Element x y z (fractional)
Nd 0.999 0.999 0.998
Zr 0.322 0.322 0.644
Cd 0.679 0.679 0.359



no.,total magnetization (μB/f.u.)
1,0.00
2,0.00
3,0.00
4,0.00